1.
NiB3Sb: relaxed, GGA-PBE.

The value obtained for the final energy is -4.75 eV/atom. For the raw formation energy, the calculation gives 1233.9 meV per atom. The value obtained for the energy above the most stable polymorph in this dataset is 0.000 eV per atom.

The structure belongs to space group Pm-3m (No. 221); the cell edges are 3.9596, 3.9596 and 3.9596 Å and the angles 90.00°, 90.00° and 90.00°. The distinct sites, in fractional coordinates, are Ni at (0.0000, 0.0000, 0.0000), B at (0.0000, 0.0000, 0.5000) and Sb at (0.5000, 0.5000, 0.5000).

***

2.
LiPu3S4: relaxed, GGA-PBE.

The value obtained for the final energy is -9.35 eV/atom. For the raw formation energy, the calculation gives -1677.5 meV per atom.

The structure belongs to space group Cmmm (No. 65); the cell edges are 7.8638, 11.1410 and 3.9644 Å and the angles 90.00°, 90.00° and 90.00°. The distinct sites, in fractional coordinates, are Li at (0.0000, 0.0000, 0.0000), Pu at (0.0000, 0.5000, 0.0000), Pu at (0.2500, 0.2500, 0.5000), S at (0.0000, 0.2493, 0.0000) and S at (0.2490, 0.0000, 0.5000).